Material: ZrTl2Cl
Method: DFT, GGA-PBE
State: optimized geometry

- Calculated density: 8.89 g/cm³
- Total DFT energy (no corrections): -0.286 Ry/atom
- Energy relative to the lowest polymorph listed for this composition: 435 meV/atom
- Formation energy (no corrections): -0.43 eV/f.u.

Cell: 9.6155 9.6155 9.6155 Å, 21.01 21.01 21.01°
Fractional coordinates of all 4 atoms:
1 Cl 0.7500 0.7500 0.7500
2 Tl 0.0006 0.0006 0.0006
3 Tl 0.4994 0.4994 0.4994
4 Zr 0.2500 0.2500 0.2500